{
  "formula": "Pr5Mg",
  "functional": "meta-GGA SCAN",
  "state": "PBEsol geometry",
  "n_ef_per_ev_atom": 1.2423,
  "spacegroup": "Amm2 (38)",
  "e_form_ev_per_atom": 0.005,
  "m_tot_mub_per_atom": 0.000,
  "lattice": [[5.819, 0.000, 0.000], [0.000, 1.837, 9.047], [0.000, -1.837, 9.047]],
  "species": ["Pr", "Pr", "Pr", "Pr", "Pr", "Mg"],
  "frac_coords": [[0.000, 0.000, 0.000], [0.000, 0.322, 0.322], [0.500, 0.124, 0.124], [0.500, 0.456, 0.456], [0.500, 0.784, 0.784], [0.000, 0.663, 0.663]]
}